The following is a DFT calculation (GGA-PBE) of a relaxed structure of HfTlPCl2.

Structure (POSCAR):
```
HfTlPCl2
1.0
5.084 0.000 0.000
0.000 5.084 0.000
0.000 0.000 5.068
Hf Tl P Cl
1 1 1 2
Direct
0.000 0.000 0.000 Hf
0.500 0.500 0.500 Tl
0.000 0.000 0.500 P
0.000 0.500 0.000 Cl
0.500 0.000 0.000 Cl
```

Summary:
Symmetry: P4/mmm
Fermi-level density of states (states/eV/cell): 1.15
Total energy (eV per formula unit): -25.60


The following is a DFT calculation (GGA-PBE) of a relaxed structure of HfPWCl2.

Structure (POSCAR):
```
HfPWCl2
1.0
4.631 0.000 0.000
0.000 4.631 0.000
0.000 0.000 4.954
Hf P W Cl
1 1 1 2
Direct
0.000 0.000 0.000 Hf
0.500 0.500 0.000 P
0.500 0.500 0.500 W
0.000 0.500 0.500 Cl
0.500 0.000 0.500 Cl
```

Summary:
Symmetry: P4/mmm
Fermi-level density of states (states/eV/cell): 5.85
Total energy (eV per formula unit): -28.69


The following is a DFT calculation (GGA-PBE) of a relaxed structure of HfP2WCl.

Structure (POSCAR):
```
HfP2WCl
1.0
5.032 0.000 0.000
0.000 5.032 0.000
0.000 0.000 4.712
Hf P W Cl
1 2 1 1
Direct
0.000 0.000 0.000 Hf
0.000 0.500 0.000 P
0.500 0.000 0.000 P
0.500 0.500 0.500 W
0.000 0.000 0.500 Cl
```

Summary:
Symmetry: P4/mmm
Fermi-level density of states (states/eV/cell): 2.31
Total energy (eV per formula unit): -31.29


The following is a DFT calculation (GGA-PBE) of a relaxed structure of HfP2WCl.

Structure (POSCAR):
```
HfP2WCl
1.0
4.729 0.000 0.000
0.000 4.729 0.000
0.000 0.000 4.621
Hf P W Cl
1 2 1 1
Direct
0.000 0.000 0.000 Hf
0.000 0.500 0.500 P
0.500 0.000 0.500 P
0.500 0.500 0.500 W
0.500 0.500 0.000 Cl
```

Summary:
Symmetry: P4/mmm
Fermi-level density of states (states/eV/cell): 6.11
Total energy (eV per formula unit): -32.64


The following is a DFT calculation (GGA-PBE) of a relaxed structure of HfPWCl2.

Structure (POSCAR):
```
HfPWCl2
1.0
4.796 0.000 0.000
0.000 4.796 0.000
0.000 0.000 5.287
Hf P W Cl
1 1 1 2
Direct
0.000 0.000 0.000 Hf
0.000 0.000 0.500 P
0.500 0.500 0.500 W
0.000 0.500 0.000 Cl
0.500 0.000 0.000 Cl
```

Summary:
Symmetry: P4/mmm
Fermi-level density of states (states/eV/cell): 2.03
Total energy (eV per formula unit): -29.37


The following is a DFT calculation (GGA-PBE) of a relaxed structure of YHfPCl2.

Structure (POSCAR):
```
YHfPCl2
1.0
4.804 0.000 0.000
0.000 4.804 0.000
0.000 0.000 5.209
Y Hf P Cl
1 1 1 2
Direct
0.000 0.000 0.000 Y
0.500 0.500 0.500 Hf
0.500 0.500 0.000 P
0.000 0.500 0.500 Cl
0.500 0.000 0.500 Cl
```

Summary:
Symmetry: P4/mmm
Fermi-level density of states (states/eV/cell): 3.74
Total energy (eV per formula unit): -29.34


Copy entry 1 word for word.
The following is a DFT calculation (GGA-PBE) of a relaxed structure of HfTlPCl2.

Structure (POSCAR):
```
HfTlPCl2
1.0
5.084 0.000 0.000
0.000 5.084 0.000
0.000 0.000 5.068
Hf Tl P Cl
1 1 1 2
Direct
0.000 0.000 0.000 Hf
0.500 0.500 0.500 Tl
0.000 0.000 0.500 P
0.000 0.500 0.000 Cl
0.500 0.000 0.000 Cl
```

Summary:
Symmetry: P4/mmm
Fermi-level density of states (states/eV/cell): 1.15
Total energy (eV per formula unit): -25.60


Number 5 is which compound?
HfPWCl2